Entry 1:
{"formula": "Ca2ZrZnIn", "functional": "GGA-PBEsol", "state": "relaxed", "lattice": [[5.3550, 0.0000, 0.0000], [0.0000, 5.3550, 0.0000], [0.0000, 0.0000, 5.0756]], "species": ["Ca", "Ca", "Zr", "Zn", "In"], "fractional_positions": [[0.0000, 0.5000, 0.0000], [0.5000, 0.0000, 0.0000], [0.0000, 0.0000, 0.5000], [0.0000, 0.0000, 0.0000], [0.5000, 0.5000, 0.5000]], "e_form_ev_per_atom": 0.270}


Entry 2:
{"formula": "CaZrIn", "functional": "GGA-PBEsol", "state": "relaxed", "lattice": [[-1.5784, 2.1350, 5.6780], [1.5784, -2.1350, 5.6780], [1.5784, 2.1350, -5.6780]], "species": ["Ca", "Zr", "In"], "fractional_positions": [[0.0000, 0.0000, 0.0000], [0.7023, 0.7023, 0.0000], [0.3302, 0.3302, 0.0000]], "e_form_ev_per_atom": -0.026, "de_polymorph_ev_per_atom": 0.000}